# CdH3Pd2 GGA-PBE optimized geometry
data_CdH3Pd2
_chemical_formula_sum 'Cd2 H6 Pd4'
_symmetry_space_group_name_H-M 'P -1'
_symmetry_Int_Tables_number 2
_symmetry_space_group_name_Hall '-P 1'
_cell_length_a 5.304
_cell_length_b 5.360
_cell_length_c 5.410
_cell_angle_alpha 66.49
_cell_angle_beta 63.23
_cell_angle_gamma 80.25
loop_
_atom_site_label
_atom_site_fract_x
_atom_site_fract_y
_atom_site_fract_z
_atom_site_occupancy
Cd1 0.239 0.227 0.343 1
H1 0.189 0.115 0.831 1
H2 0.201 0.650 0.241 1
H3 0.300 0.574 0.666 1
Pd1 0.140 0.759 0.908 1
Pd2 0.490 0.745 0.259 1
# Energy: -3.648 eV per atom
# Calculated density: 8.7 Mg/m³